Density functional theory data (PBE) for crystalline Li2MnSi at its relaxed geometry.

a = 2.677 Å, b = 3.724 Å, c = 5.648 Å
α = 90.00°, β = 90.00°, γ = 90.00°
Element x y z (fractional)
1 Li 0.000 0.000 0.000
2 Li 0.500 0.500 0.259
3 Mn 0.000 0.000 0.541
4 Si 0.500 0.500 0.723

Calculated values
Energy relative to the elements, uncorrected ... -0.0340 eV/atom
DFT total energy ... -4.639 eV per atom

***

Density functional theory data (PBE) for crystalline Li3MnSi at its relaxed geometry.

a = 4.659 Å, b = 4.659 Å, c = 4.659 Å
α = 90.00°, β = 90.00°, γ = 90.00°
Element x y z (fractional)
1 Li 0.000 0.000 0.500
2 Li 0.000 0.500 0.000
3 Li 0.500 0.000 0.000
4 Mn 0.000 0.000 0.000
5 Si 0.500 0.500 0.500

Calculated values
Energy relative to the elements, uncorrected ... 0.9119 eV/atom
Excess energy over the best structure of this formula in the dataset ... 0 meV per atom
DFT total energy ... -3.155 eV per atom

***

Density functional theory data (PBE) for crystalline Li2MnSi at its relaxed geometry.

a = 5.158 Å, b = 5.158 Å, c = 2.564 Å
α = 102.59°, β = 102.59°, γ = 125.44°
Element x y z (fractional)
1 Li 0.000 0.500 0.000
2 Li 0.500 0.000 0.000
3 Mn 0.000 0.000 0.500
4 Si 0.500 0.500 0.500

Calculated values
Energy relative to the elements, uncorrected ... -0.0128 eV/atom
DFT total energy ... -4.618 eV per atom

***

Density functional theory data (PBE) for crystalline LiMn2Si at its relaxed geometry.

a = 4.742 Å, b = 4.742 Å, c = 2.505 Å
α = 101.66°, β = 101.66°, γ = 116.19°
Element x y z (fractional)
1 Li 0.000 0.000 0.000
2 Mn 0.000 0.500 0.500
3 Mn 0.500 0.000 0.500
4 Si 0.500 0.500 0.000

Calculated values
Energy relative to the elements, uncorrected ... 0.0526 eV/atom
DFT total energy ... -6.366 eV per atom

***

Density functional theory data (PBE) for crystalline LiMn2Si at its relaxed geometry.

a = 2.820 Å, b = 2.820 Å, c = 5.487 Å
α = 90.00°, β = 90.00°, γ = 90.00°
Element x y z (fractional)
1 Li 0.000 0.000 0.000
2 Mn 0.000 0.000 0.489
3 Mn 0.500 0.500 0.255
4 Si 0.500 0.500 0.749

Calculated values
Energy relative to the elements, uncorrected ... -0.0286 eV/atom
DFT total energy ... -6.448 eV per atom

***

Density functional theory data (PBE) for crystalline Li2MnSi at its relaxed geometry.

a = 2.648 Å, b = 4.223 Å, c = 4.988 Å
α = 90.00°, β = 90.00°, γ = 90.00°
Element x y z (fractional)
1 Li 0.000 0.000 0.241
2 Li 0.000 0.000 0.759
3 Mn 0.500 0.500 0.500
4 Si 0.500 0.500 0.000

Calculated values
Energy relative to the elements, uncorrected ... 0.0644 eV/atom
DFT total energy ... -4.541 eV per atom

***

Density functional theory data (PBE) for crystalline LiMn2Si at its relaxed geometry.

a = 2.635 Å, b = 2.635 Å, c = 7.550 Å
α = 90.00°, β = 90.00°, γ = 90.00°
Element x y z (fractional)
1 Li 0.000 0.000 0.000
2 Mn 0.500 0.500 0.288
3 Mn 0.500 0.500 0.712
4 Si 0.000 0.000 0.500

Calculated values
Energy relative to the elements, uncorrected ... 0.0410 eV/atom
DFT total energy ... -6.378 eV per atom

***

Density functional theory data (PBE) for crystalline LiMn2Si at its relaxed geometry.

a = 2.679 Å, b = 3.412 Å, c = 5.345 Å
α = 90.00°, β = 90.00°, γ = 90.00°
Element x y z (fractional)
1 Li 0.000 0.000 0.000
2 Mn 0.500 0.500 0.261
3 Mn 0.500 0.500 0.739
4 Si 0.000 0.000 0.500

Calculated values
Energy relative to the elements, uncorrected ... 0.0154 eV/atom
DFT total energy ... -6.404 eV per atom

***

Density functional theory data (PBE) for crystalline LiMn2Si at its relaxed geometry.

a = 3.922 Å, b = 3.922 Å, c = 3.922 Å
α = 60.00°, β = 60.00°, γ = 60.00°
Element x y z (fractional)
1 Li 0.000 0.000 0.000
2 Mn 0.250 0.250 0.250
3 Mn 0.500 0.500 0.500
4 Si 0.750 0.750 0.750

Calculated values
Energy relative to the elements, uncorrected ... -0.1939 eV/atom
DFT total energy ... -6.613 eV per atom

***

Density functional theory data (PBE) for crystalline LiMn2Si at its relaxed geometry.

a = 2.676 Å, b = 2.676 Å, c = 7.357 Å
α = 90.00°, β = 90.00°, γ = 90.00°
Element x y z (fractional)
1 Li 0.000 0.000 0.000
2 Mn 0.000 0.000 0.519
3 Mn 0.500 0.500 0.312
4 Si 0.500 0.500 0.736

Calculated values
Energy relative to the elements, uncorrected ... -0.0075 eV/atom
DFT total energy ... -6.426 eV per atom

***

Density functional theory data (PBE) for crystalline Li2MnSi at its relaxed geometry.

a = 5.036 Å, b = 5.036 Å, c = 5.036 Å
α = 139.08°, β = 139.08°, γ = 59.26°
Element x y z (fractional)
1 Li 0.250 0.750 0.500
2 Li 0.750 0.250 0.500
3 Mn 0.000 0.000 0.000
4 Si 0.500 0.500 0.000

Calculated values
Energy relative to the elements, uncorrected ... -0.0190 eV/atom
DFT total energy ... -4.624 eV per atom

***

Density functional theory data (PBE) for crystalline LiMn4Si at its relaxed geometry.

a = 4.624 Å, b = 4.624 Å, c = 4.624 Å
α = 60.00°, β = 60.00°, γ = 60.00°
Element x y z (fractional)
1 Li 0.000 0.000 0.000
2 Mn 0.375 0.375 0.375
3 Mn 0.375 0.375 0.875
4 Mn 0.375 0.875 0.375
5 Mn 0.875 0.375 0.375
6 Si 0.750 0.750 0.750

Calculated values
Energy relative to the elements, uncorrected ... 0.1967 eV/atom
DFT total energy ... -7.139 eV per atom